Here is PaTiSnO6 after structural relaxation from Alexandria via LeMat-Bulk. Energies are from PBE.

E_form (uncorrected) (eV per atom): -2.648
E_tot (eV/atom): -8.330

Unit cell a=5.5125 b=5.5125 c=9.2059 alpha=90.00 beta=90.00 gamma=120.00
Space group P-31c (No. 163)
Inequivalent atoms, fractional coordinates:
1 Pa 0.3333 0.6667 0.2500 x2
2 Ti 0.3333 0.6667 0.7500 x2
3 Sn 0.0000 0.0000 0.0000 x2
4 O 0.0255 0.3608 0.6341 x12